Entry 1:
# Sm3Zn2Rh

Sm3Zn2Rh after structural relaxation (PBE, Alexandria via LeMat-Bulk).

Properties
DFT formation energy: -2.760 eV per formula unit
E_tot: -26.8 eV/f.u.
E above lowest polymorph: 0.000 eV/atom
ρ: 8.13 Mg/m³

Cell: 3.616 3.616 10.695 Å, 90.00 90.00 90.00°
Space group P4/mmm (No. 123)
Inequivalent atoms, fractional coordinates:
1 Sm 0.000 0.000 0.000 [1 per cell]
2 Sm 0.000 0.000 0.345 [2 per cell]
3 Zn 0.500 0.500 0.168 [2 per cell]
4 Rh 0.500 0.500 0.500 [1 per cell]

Entry 2:
# Sm2ZnRh

Sm2ZnRh after structural relaxation (PBE, Alexandria via LeMat-Bulk).

Properties
DFT formation energy: -1.646 eV per formula unit
E_tot: -19.7 eV/f.u.
ρ: 7.44 Mg/m³

Cell: 3.9795 3.9795 22.8888 Å, 90.00 90.00 120.00°
Space group R-3m (No. 166, hexagonal axes)
Inequivalent atoms, fractional coordinates:
1 Sm 0.0000 0.0000 0.2382 [6 per cell]
2 Zn 0.0000 0.0000 0.0000 [3 per cell]
3 Rh 0.0000 0.0000 0.5000 [3 per cell]